Compound: Rb2TiMoO6
Source: Alexandria via LeMat-Bulk
Functional: GGA+U
Structure: relaxed

a = 5.9123 Å, b = 5.9123 Å, c = 28.4204 Å
α = 90.00°, β = 90.00°, γ = 120.00°
Closest atoms and distances in Å follow each position.
Space group R-3m (No. 166, hexagonal axes)
Asymmetric unit:
Rb (0.0000, 0.0000, 0.1311) (multiplicity 6)  12 O 2.98-3.11
Rb (0.0000, 0.0000, 0.2816) (multiplicity 6)  12 O 2.78-3.11
Ti (0.0000, 0.0000, 0.4046) (multiplicity 6)  6 O 1.99-2.05
Mo (0.0000, 0.0000, 0.0000) (multiplicity 3)  6 O 1.98
Mo (0.0000, 0.0000, 0.5000) (multiplicity 3)  6 O 1.94
O (0.0104, 0.5052, 0.7051) (multiplicity 18)  1 Mo 1.98, 1 Ti 1.99
O (0.0471, 0.5236, 0.1217) (multiplicity 18)  1 Mo 1.94, 1 Ti 2.05

Output
Magnetic moment in μB per atom: 0.000
Raw total energy in eV per atom: -6.71